Entry a
A plane-wave DFT calculation with PBE was carried out for a geometry-optimized RbSb structure.

Results
**D(E_F)**: 7.15 states/eV/cell
**Density**: 3.00 Mg/m³

a = 13.2048 Å, b = 13.2048 Å, c = 4.5516 Å
α = 90.00°, β = 90.00°, γ = 120.00°
Space group P6_3/mmc (No. 194)
One atom of each set of equivalent atoms:
Rb: 0.2029 0.4057 0.2500 (multiplicity 6)
Sb: 0.0795 0.5397 0.7500 (multiplicity 6)


Entry b
A plane-wave DFT calculation with PBE was carried out for a geometry-optimized RbSb structure.

Results
**D(E_F)**: 10.37 states/eV/cell
**Density**: 4.15 Mg/m³

a = 6.6236 Å, b = 11.2054 Å, c = 17.8653 Å
α = 90.00°, β = 90.00°, γ = 90.00°
Space group Fddd (No. 70, origin choice 2)
One atom of each set of equivalent atoms:
Rb: 0.1250 0.2877 0.1250 (multiplicity 16)
Sb: 0.1250 0.1250 0.5469 (multiplicity 16)


Entry c
A plane-wave DFT calculation with PBE was carried out for a geometry-optimized RbSb structure.

Results
**D(E_F)**: 5.73 states/eV/cell
**Density**: 3.47 Mg/m³

a = 11.7227 Å, b = 11.7227 Å, c = 5.7724 Å
α = 90.00°, β = 90.00°, γ = 90.00°
Space group P4/m (No. 83)
One atom of each set of equivalent atoms:
Rb: 0.1259 0.7867 0.0000 (multiplicity 4)
Rb: 0.2800 0.3694 0.5000 (multiplicity 4)
Sb: 0.0525 0.6075 0.5000 (multiplicity 4)
Sb: 0.1166 0.4726 0.0000 (multiplicity 4)


Entry d
A plane-wave DFT calculation with PBE was carried out for a geometry-optimized RbSb structure.

Results
**D(E_F)**: 6.46 states/eV/cell
**Density**: 3.16 Mg/m³

a = 7.6710 Å, b = 7.6710 Å, c = 7.3936 Å
α = 90.00°, β = 90.00°, γ = 90.00°
Space group P4_2/mnm (No. 136)
One atom of each set of equivalent atoms:
Rb: 0.1839 0.1839 0.0000 (multiplicity 4)
Sb: 0.1257 0.1257 0.5000 (multiplicity 4)


Short version: entry b is the most stable of them.


Entry a
A plane-wave DFT calculation with PBE was carried out for a geometry-optimized RbSb structure.

Results
**D(E_F)**: 3.29 states/eV/cell
**Density**: 2.51 Mg/m³

a = 6.4843 Å, b = 6.4843 Å, c = 7.5283 Å
α = 90.00°, β = 90.00°, γ = 120.00°
Space group P6_3/mmc (No. 194)
One atom of each set of equivalent atoms:
Rb: 0.3333 0.6667 0.2500 (multiplicity 2)
Sb: 0.3333 0.6667 0.7500 (multiplicity 2)


Entry b
A plane-wave DFT calculation with PBE was carried out for a geometry-optimized RbSb structure.

Results
**D(E_F)**: 1.29 states/eV/cell
**Density**: 4.93 Mg/m³

a = 3.4815 Å, b = 3.4815 Å, c = 5.7564 Å
α = 90.00°, β = 90.00°, γ = 90.00°
Space group P4/mmm (No. 123)
One atom of each set of equivalent atoms:
Rb: 0.0000 0.0000 0.0000 (multiplicity 1)
Sb: 0.5000 0.5000 0.5000 (multiplicity 1)


Short version: entry b is the most stable of them.


Entry a
A plane-wave DFT calculation with PBE was carried out for a geometry-optimized RbSb structure.

Results
**Density**: 3.84 Mg/m³

a = 7.3516 Å, b = 7.4936 Å, c = 13.0120 Å
α = 90.00°, β = 90.00°, γ = 90.00°
Space group P2_12_12_1 (No. 19)
One atom of each set of equivalent atoms:
Rb: 0.0964 0.1005 0.4191 (multiplicity 4)
Rb: 0.1685 0.3515 0.7911 (multiplicity 4)
Sb: 0.0914 0.5550 0.5353 (multiplicity 4)
Sb: 0.1699 0.1736 0.1184 (multiplicity 4)


Entry b
A plane-wave DFT calculation with PBE was carried out for a geometry-optimized RbSb structure.

Results
**D(E_F)**: 12.21 states/eV/cell
**Density**: 1.80 Mg/m³

a = 10.4588 Å, b = 10.4588 Å, c = 10.4588 Å
α = 90.00°, β = 90.00°, γ = 90.00°
Space group Pm-3n (No. 223)
One atom of each set of equivalent atoms:
Rb: 0.0000 0.2500 0.5000 (multiplicity 6)
Sb: 0.0000 0.5000 0.2500 (multiplicity 6)


Entry c
A plane-wave DFT calculation with PBE was carried out for a geometry-optimized RbSb structure.

Results
**D(E_F)**: 12.91 states/eV/cell
**Density**: 2.64 Mg/m³

a = 15.4520 Å, b = 15.4520 Å, c = 4.3596 Å
α = 90.00°, β = 90.00°, γ = 90.00°
Space group I4/m (No. 87)
One atom of each set of equivalent atoms:
Rb: 0.0438 0.7486 0.0000 (multiplicity 8)
Sb: 0.1907 0.2703 0.0000 (multiplicity 8)


Short version: entry a is the most stable of them.


Entry a
A plane-wave DFT calculation with PBE was carried out for a geometry-optimized RbSb structure.

Results
**Density**: 3.91 Mg/m³

a = 7.5237 Å, b = 7.3015 Å, c = 14.0444 Å
α = 90.00°, β = 114.26°, γ = 90.00°
Space group P2_1/c (No. 14)
One atom of each set of equivalent atoms:
Rb: 0.2148 0.0990 0.3316 (multiplicity 4)
Rb: 0.2451 0.6686 0.5326 (multiplicity 4)
Sb: 0.3290 0.5964 0.2841 (multiplicity 4)
Sb: 0.3326 0.1689 0.6295 (multiplicity 4)


Entry b
A plane-wave DFT calculation with PBE was carried out for a geometry-optimized RbSb structure.

Results
**D(E_F)**: 1.03 states/eV/cell
**Density**: 3.89 Mg/m³

a = 5.8335 Å, b = 4.6575 Å, c = 7.1367 Å
α = 90.00°, β = 114.01°, γ = 90.00°
Space group P2_1/m (No. 11)
One atom of each set of equivalent atoms:
Rb: 0.1343 0.2500 0.2708 (multiplicity 2)
Sb: 0.4334 0.2500 0.8650 (multiplicity 2)


Short version: entry a is the most stable of them.


Entry a
A plane-wave DFT calculation with PBE was carried out for a geometry-optimized RbSc3Sb structure.

Results
**D(E_F)**: 6.57 states/eV/cell
**Density**: 3.18 Mg/m³

a = 5.6308 Å, b = 5.6308 Å, c = 5.6308 Å
α = 90.00°, β = 90.00°, γ = 90.00°
Space group Pm-3m (No. 221)
One atom of each set of equivalent atoms:
Rb: 0.0000 0.0000 0.0000 (multiplicity 1)
Sc: 0.0000 0.5000 0.5000 (multiplicity 3)
Sb: 0.5000 0.5000 0.5000 (multiplicity 1)


Entry b
A plane-wave DFT calculation with PBE was carried out for a geometry-optimized RbSc3Sb structure.

Results
**D(E_F)**: 3.65 states/eV/cell
**Density**: 4.38 Mg/m³

a = 5.0618 Å, b = 5.0618 Å, c = 5.0618 Å
α = 90.00°, β = 90.00°, γ = 90.00°
Space group Pm-3m (No. 221)
One atom of each set of equivalent atoms:
Rb: 0.0000 0.0000 0.0000 (multiplicity 1)
Sc: 0.0000 0.0000 0.5000 (multiplicity 3)
Sb: 0.5000 0.5000 0.5000 (multiplicity 1)


Short version: entry a is the most stable of them.


Entry a
A plane-wave DFT calculation with PBE was carried out for a geometry-optimized RbSc2Sb2 structure.

Results
**D(E_F)**: 0.35 states/eV/cell
**Density**: 3.96 Mg/m³

a = 5.5870 Å, b = 5.5870 Å, c = 11.2683 Å
α = 90.00°, β = 90.00°, γ = 90.00°
Space group I4/mmm (No. 139)
One atom of each set of equivalent atoms:
Rb: 0.0000 0.0000 0.0000 (multiplicity 2)
Sc: 0.0000 0.0000 0.3202 (multiplicity 4)
Sb: 0.0000 0.5000 0.2500 (multiplicity 4)


Entry b
A plane-wave DFT calculation with PBE was carried out for a geometry-optimized RbSc2Sb2 structure.

Results
**D(E_F)**: 4.86 states/eV/cell
**Density**: 3.91 Mg/m³

a = 4.8791 Å, b = 4.8791 Å, c = 14.9288 Å
α = 90.00°, β = 90.00°, γ = 90.00°
Space group I4/mmm (No. 139)
One atom of each set of equivalent atoms:
Rb: 0.0000 0.0000 0.0000 (multiplicity 2)
Sc: 0.0000 0.5000 0.2500 (multiplicity 4)
Sb: 0.0000 0.0000 0.3553 (multiplicity 4)


Entry c
A plane-wave DFT calculation with PBE was carried out for a geometry-optimized RbSc2Sb2 structure.

Results
**D(E_F)**: 4.60 states/eV/cell
**Density**: 5.10 Mg/m³

a = 8.8198 Å, b = 8.8198 Å, c = 3.5047 Å
α = 90.00°, β = 90.00°, γ = 90.00°
Space group P4/mbm (No. 127)
One atom of each set of equivalent atoms:
Rb: 0.0000 0.0000 0.0000 (multiplicity 2)
Sc: 0.1227 0.3773 0.0000 (multiplicity 4)
Sb: 0.1631 0.6631 0.5000 (multiplicity 4)


Short version: entry b is the most stable of them.


Entry a
A plane-wave DFT calculation with PBE was carried out for a geometry-optimized RbScSbTe2 structure.

Results
**D(E_F)**: 5.39 states/eV/cell
**Density**: 4.63 Mg/m³

a = 5.7149 Å, b = 5.7149 Å, c = 5.5754 Å
α = 90.00°, β = 90.00°, γ = 90.00°
Space group P4/mmm (No. 123)
One atom of each set of equivalent atoms:
Rb: 0.0000 0.0000 0.0000 (multiplicity 1)
Sc: 0.5000 0.5000 0.5000 (multiplicity 1)
Sb: 0.5000 0.5000 0.0000 (multiplicity 1)
Te: 0.0000 0.5000 0.5000 (multiplicity 2)


Entry b
A plane-wave DFT calculation with PBE was carried out for a geometry-optimized RbScSbTe2 structure.

Results
**D(E_F)**: 6.17 states/eV/cell
**Density**: 4.03 Mg/m³

a = 6.0232 Å, b = 6.0232 Å, c = 5.7671 Å
α = 90.00°, β = 90.00°, γ = 90.00°
Space group P4/mmm (No. 123)
One atom of each set of equivalent atoms:
Rb: 0.0000 0.0000 0.0000 (multiplicity 1)
Sc: 0.5000 0.5000 0.5000 (multiplicity 1)
Sb: 0.0000 0.0000 0.5000 (multiplicity 1)
Te: 0.0000 0.5000 0.0000 (multiplicity 2)


Short version: entry a is the most stable of them.


Entry a
A plane-wave DFT calculation with PBE was carried out for a geometry-optimized RbSb4Se6 structure.

Results
**D(E_F)**: 6.56 states/eV/cell
**Density**: 5.33 Mg/m³

a = 4.3760 Å, b = 13.7793 Å, c = 21.6128 Å
α = 90.00°, β = 90.00°, γ = 90.00°
Space group Cmcm (No. 63)
One atom of each set of equivalent atoms:
Rb: 0.0000 0.1563 0.2500 (multiplicity 4)
Sb: 0.0000 0.0914 0.6332 (multiplicity 8)
Sb: 0.0000 0.3637 0.5389 (multiplicity 8)
Se: 0.0000 0.0000 0.0000 (multiplicity 4)
Se: 0.0000 0.1593 0.7500 (multiplicity 4)
Se: 0.0000 0.2562 0.0826 (multiplicity 8)
Se: 0.0000 0.4693 0.6509 (multiplicity 8)


Entry b
A plane-wave DFT calculation with PBE was carried out for a geometry-optimized RbSb4Se6 structure.

Results
**D(E_F)**: 6.38 states/eV/cell
**Density**: 5.26 Mg/m³

a = 7.3792 Å, b = 7.3792 Å, c = 12.1377 Å
α = 90.00°, β = 90.00°, γ = 90.00°
Space group I-42m (No. 121)
One atom of each set of equivalent atoms:
Rb: 0.0000 0.0000 0.0000 (multiplicity 2)
Sb: 0.1698 0.1698 0.6151 (multiplicity 8)
Se: 0.0000 0.5000 0.0000 (multiplicity 4)
Se: 0.1843 0.1843 0.3014 (multiplicity 8)


Short version: entry a is the most stable of them.